DFT (PBE) results for a relaxed structure of In2TcBr.

Symmetry = P4mm, No. 99
D(E_F) = 3.4 states/eV/cell
E_tot = -4.021 eV/atom
Raw formation energy = 138 kJ/mol of formula units
ΔE to the lowest computed polymorph = 263.2 meV per atom
Magnetic moment = 1.510 μB/cell

POSCAR file:
```
In2TcBr
1.0
3.772 0.000 0.000
0.000 3.772 0.000
0.000 0.000 8.117
In Tc Br
2 1 1
Direct
0.000 0.000 0.000 In
0.500 0.500 0.360 In
0.000 0.000 0.328 Tc
0.500 0.500 0.807 Br
```

DFT (PBE) results for a relaxed structure of In2TcBr.

Symmetry = I-4m2, No. 119
D(E_F) = 2.6 states/eV/cell
E_tot = -3.758 eV/atom
Raw formation energy = 240 kJ/mol of formula units
ΔE to the lowest computed polymorph = 525.9 meV per atom
Magnetic moment = 2.901 μB/cell

POSCAR file:
```
In2TcBr
1.0
-2.082 2.082 5.756
2.082 -2.082 5.756
2.082 2.082 -5.756
In Tc Br
2 1 1
Direct
0.000 0.000 0.000 In
0.750 0.250 0.500 In
0.250 0.750 0.500 Tc
0.500 0.500 0.000 Br
```

DFT (PBE) results for a relaxed structure of InTc2Br.

Symmetry = Cm, No. 8
D(E_F) = 3.1 states/eV/cell
E_tot = -5.668 eV/atom
Raw formation energy = 239 kJ/mol of formula units
ΔE to the lowest computed polymorph = 468.5 meV per atom
Magnetic moment = 0.000 μB/cell

POSCAR file:
```
InTc2Br
1.0
5.358 -1.495 0.000
5.358 1.495 0.000
-2.711 0.000 4.688
In Tc Br
1 2 1
Direct
0.000 0.000 0.000 In
0.462 0.462 0.430 Tc
0.757 0.757 0.416 Tc
0.186 0.186 0.711 Br
```

DFT (PBE) results for a relaxed structure of InTcBr.

Symmetry = P-6m2, No. 187
D(E_F) = 2.7 states/eV/cell
E_tot = -4.291 eV/atom
Raw formation energy = 184 kJ/mol of formula units
ΔE to the lowest computed polymorph = 226.8 meV per atom
Magnetic moment = 1.477 μB/cell

POSCAR file:
```
InTcBr
1.0
4.638 0.000 0.000
-2.319 4.017 0.000
0.000 0.000 3.218
In Tc Br
1 1 1
Direct
0.000 0.000 0.000 In
0.667 0.333 0.500 Tc
0.333 0.667 0.500 Br
```

DFT (PBE) results for a relaxed structure of InTc2Br.

Symmetry = P4/mmm, No. 123
D(E_F) = 5.1 states/eV/cell
E_tot = -5.423 eV/atom
Raw formation energy = 333 kJ/mol of formula units
ΔE to the lowest computed polymorph = 713.1 meV per atom
Magnetic moment = 0.001 μB/cell

POSCAR file:
```
InTc2Br
1.0
4.635 0.000 0.000
0.000 4.635 0.000
0.000 0.000 3.174
In Tc Br
1 2 1
Direct
0.000 0.000 0.000 In
0.000 0.500 0.500 Tc
0.500 0.000 0.500 Tc
0.500 0.500 0.000 Br
```

DFT (PBE) results for a relaxed structure of In2TcBr.

Symmetry = R-3m, No. 166
D(E_F) = 3.1 states/eV/cell
E_tot = -4.171 eV/atom
Raw formation energy = 80 kJ/mol of formula units
ΔE to the lowest computed polymorph = 113.1 meV per atom
Magnetic moment = 0.572 μB/cell

POSCAR file:
```
In2TcBr
1.0
1.707 0.986 8.729
-1.707 0.986 8.729
0.000 -1.971 8.729
In Tc Br
2 1 1
Direct
0.241 0.241 0.241 In
0.759 0.759 0.759 In
0.500 0.500 0.500 Tc
0.000 0.000 0.000 Br
```

DFT (PBE) results for a relaxed structure of InTc4Br.

Symmetry = F-43m, No. 216
D(E_F) = 6.4 states/eV/cell
E_tot = -6.798 eV/atom
Raw formation energy = 491 kJ/mol of formula units
Magnetic moment = 0.000 μB/cell

POSCAR file:
```
InTc4Br
1.0
0.000 3.736 3.736
3.736 0.000 3.736
3.736 3.736 0.000
In Tc Br
1 4 1
Direct
0.000 0.000 0.000 In
0.129 0.624 0.624 Tc
0.624 0.129 0.624 Tc
0.624 0.624 0.129 Tc
0.624 0.624 0.624 Tc
0.250 0.250 0.250 Br
```

DFT (PBE) results for a relaxed structure of In2TcBr.

Symmetry = I4/mmm, No. 139
D(E_F) = 3.0 states/eV/cell
E_tot = -3.738 eV/atom
Raw formation energy = 248 kJ/mol of formula units
ΔE to the lowest computed polymorph = 546.5 meV per atom
Magnetic moment = 2.333 μB/cell

POSCAR file:
```
In2TcBr
1.0
-2.170 2.170 4.741
2.170 -2.170 4.741
2.170 2.170 -4.741
In Tc Br
2 1 1
Direct
0.250 0.750 0.500 In
0.750 0.250 0.500 In
0.000 0.000 0.000 Tc
0.500 0.500 0.000 Br
```

DFT (PBE) results for a relaxed structure of InTc2Br.

Symmetry = P4mm, No. 99
D(E_F) = 1.7 states/eV/cell
E_tot = -6.066 eV/atom
Raw formation energy = 85 kJ/mol of formula units
ΔE to the lowest computed polymorph = 69.9 meV per atom
Magnetic moment = 0.000 μB/cell

POSCAR file:
```
InTc2Br
1.0
3.059 0.000 0.000
0.000 3.059 0.000
0.000 0.000 8.139
In Tc Br
1 2 1
Direct
0.000 0.000 0.000 In
0.000 0.000 0.418 Tc
0.500 0.500 0.235 Tc
0.500 0.500 0.650 Br
```

DFT (PBE) results for a relaxed structure of InTc3Br.

Symmetry = Pm-3m, No. 221
D(E_F) = 4.4 states/eV/cell
E_tot = -5.706 eV/atom
Raw formation energy = 674 kJ/mol of formula units
ΔE to the lowest computed polymorph = 0.0 meV per atom
Magnetic moment = 1.434 μB/cell

POSCAR file:
```
InTc3Br
1.0
4.578 0.000 0.000
0.000 4.578 0.000
0.000 0.000 4.578
In Tc Br
1 3 1
Direct
0.000 0.000 0.000 In
0.000 0.500 0.500 Tc
0.500 0.000 0.500 Tc
0.500 0.500 0.000 Tc
0.500 0.500 0.500 Br
```

DFT (PBE) results for a relaxed structure of In2TcBr.

Symmetry = Fm-3m, No. 225
D(E_F) = 2.7 states/eV/cell
E_tot = -3.635 eV/atom
Raw formation energy = 287 kJ/mol of formula units
ΔE to the lowest computed polymorph = 648.9 meV per atom
Magnetic moment = 2.452 μB/cell

POSCAR file:
```
In2TcBr
1.0
0.000 3.627 3.627
3.627 0.000 3.627
3.627 3.627 0.000
In Tc Br
2 1 1
Direct
0.250 0.250 0.250 In
0.750 0.750 0.750 In
0.000 0.000 0.000 Tc
0.500 0.500 0.500 Br
```

DFT (PBE) results for a relaxed structure of In2TcBr.

Symmetry = Pmmm, No. 47
D(E_F) = 3.0 states/eV/cell
E_tot = -4.284 eV/atom
Raw formation energy = 37 kJ/mol of formula units
ΔE to the lowest computed polymorph = 0.0 meV per atom
Magnetic moment = 0.005 μB/cell

POSCAR file:
```
In2TcBr
1.0
3.305 0.000 0.000
0.000 3.359 0.000
0.000 0.000 8.140
In Tc Br
2 1 1
Direct
0.000 0.000 0.194 In
0.000 0.000 0.806 In
0.500 0.500 0.000 Tc
0.500 0.000 0.500 Br
```